No. 1
The following is a PBE calculation of a relaxed structure of NaCa2Th, from the Alexandria database.

Geometry as extended XYZ:
```
4
Lattice="1.7745 1.0245 13.5140 -1.7745 1.0245 13.5140 0.0000 -2.0490 13.5140" Properties=species:S:1:pos:R:3 pbc="T T T"
Na 0.0000 0.0000 0.0000
Ca 0.0000 0.0000 16.7678
Ca 0.0000 0.0000 23.7741
Th 0.0000 0.0000 20.2710
```

Results
- E: -11.6 eV/cell
- Size of the total moment: 0.00 μB per formula unit
- Energy of formation from the pure elements: 289.1 meV per atom

=====

No. 2
The following is a PBE calculation of a relaxed structure of NaCa2Th, from the Alexandria database.

Geometry as extended XYZ:
```
4
Lattice="3.6428 0.0000 0.0000 0.0000 3.6428 0.0000 0.0000 0.0000 11.1175" Properties=species:S:1:pos:R:3 pbc="T T T"
Na 0.0000 0.0000 0.0000
Ca 1.8214 1.8214 2.8890
Ca 1.8214 1.8214 8.2285
Th 0.0000 0.0000 5.5587
```

Results
- E: -12.1 eV/cell
- Size of the total moment: 0.00 μB per formula unit
- Energy of formation from the pure elements: 153.6 meV per atom

=====

No. 3
The following is a PBE calculation of a relaxed structure of NaCa2Ti, from the Alexandria database.

Geometry as extended XYZ:
```
4
Lattice="0.0000 4.0293 4.0293 4.0293 0.0000 4.0293 4.0293 4.0293 0.0000" Properties=species:S:1:pos:R:3 pbc="T T T"
Na 0.0000 0.0000 0.0000
Ca 2.0147 2.0147 2.0147
Ca 6.0440 6.0440 6.0440
Ti 4.0293 4.0293 4.0293
```

Results
- E: -11.2 eV/cell
- Size of the total moment: 3.11 μB per formula unit
- Energy of formation from the pure elements: 509.6 meV per atom

=====

No. 4
The following is a PBE calculation of a relaxed structure of NaCa2Ti, from the Alexandria database.

Geometry as extended XYZ:
```
4
Lattice="1.7199 0.9930 12.5402 -1.7199 0.9930 12.5402 0.0000 -1.9860 12.5402" Properties=species:S:1:pos:R:3 pbc="T T T"
Na 0.0000 0.0000 0.0000
Ca 0.0000 0.0000 15.7946
Ca 0.0000 0.0000 21.8259
Ti 0.0000 0.0000 18.8103
```

Results
- E: -10.9 eV/cell
- Size of the total moment: 1.97 μB per formula unit
- Energy of formation from the pure elements: 581.1 meV per atom

=====

No. 5
The following is a PBE calculation of a relaxed structure of Na2CaTi4, from the Alexandria database.

Geometry as extended XYZ:
```
7
Lattice="-2.4080 2.4080 7.9188 2.4080 -2.4080 7.9188 2.4080 2.4080 -7.9188" Properties=species:S:1:pos:R:3 pbc="T T T"
Na 0.0000 0.0000 2.0549
Na 0.0000 0.0000 13.7827
Ca 0.0000 0.0000 7.9188
Ti 2.4080 0.0000 0.0000
Ti 0.0000 0.0000 5.0552
Ti 0.0000 2.4080 0.0000
Ti 0.0000 0.0000 10.7823
```

Results
- E: -24.6 eV/cell
- Size of the total moment: 6.30 μB per formula unit
- Energy of formation from the pure elements: 1652.9 meV per atom

=====

No. 6
The following is a PBE calculation of a relaxed structure of Na2CaTi, from the Alexandria database.

Geometry as extended XYZ:
```
4
Lattice="0.0000 3.9383 3.9383 3.9383 0.0000 3.9383 3.9383 3.9383 0.0000" Properties=species:S:1:pos:R:3 pbc="T T T"
Na 1.9692 1.9692 1.9692
Na 5.9075 5.9075 5.9075
Ca 0.0000 0.0000 0.0000
Ti 3.9383 3.9383 3.9383
```

Results
- E: -9.9 eV/cell
- Size of the total moment: 2.76 μB per formula unit
- Energy of formation from the pure elements: 650.2 meV per atom

=====

No. 7
The following is a PBE calculation of a relaxed structure of Na2CaTi, from the Alexandria database.

Geometry as extended XYZ:
```
8
Lattice="-4.4846 4.4846 3.2374 4.4846 -4.4846 3.2374 4.4846 4.4846 -3.2374" Properties=species:S:1:pos:R:3 pbc="T T T"
Na 2.2423 2.0734 -0.8094
Na 2.4112 -2.2423 4.0468
Na 2.2423 2.4112 2.4281
Na 2.0734 6.7269 0.8094
Ca 4.4846 0.0000 1.6187
Ca 0.0000 0.0000 3.2374
Ti 0.0000 0.0000 0.0000
Ti 0.0000 4.4846 1.6187
```

Results
- E: -18.8 eV/cell
- Size of the total moment: 3.46 μB per formula unit
- Energy of formation from the pure elements: 782.4 meV per atom

=====

No. 8
The following is a PBE calculation of a relaxed structure of NaCa3Ti, from the Alexandria database.

Geometry as extended XYZ:
```
5
Lattice="6.0187 0.0000 0.0000 0.0000 6.0187 0.0000 0.0000 0.0000 6.0187" Properties=species:S:1:pos:R:3 pbc="T T T"
Na 0.0000 0.0000 0.0000
Ca 0.0000 3.0093 3.0093
Ca 3.0093 0.0000 3.0093
Ca 3.0093 3.0093 0.0000
Ti 3.0093 3.0093 3.0093
```

Results
- E: -12.1 eV/cell
- Size of the total moment: 3.99 μB per formula unit
- Energy of formation from the pure elements: 630.8 meV per atom